(1)
The following is a DFT calculation (SCAN) of Zr5Zn3 at its PBEsol-relaxed geometry.

Results
SG	P1 (1)
total DFT energy (no corrections)	-24.44	eV per atom

```
Zr5Zn3
1.0
5.5893 0.0000 0.0000
0.2581 5.6036 0.0000
0.8653 2.6738 4.8723
Zr Zn
5 3
Direct
0.0000 0.0000 0.0000
0.1350 0.9287 0.5112
0.3444 0.5330 0.1812
0.6018 0.0059 0.6245
0.7919 0.5186 0.5314
0.3051 0.4303 0.7242
0.5186 0.0784 0.0963
0.8715 0.4769 0.0479
```

(2)
The following is a DFT calculation (SCAN) of Zr3Zn5 at its PBEsol-relaxed geometry.

Results
SG	Amm2 (38)
total DFT energy (no corrections)	-20.24	eV per atom

```
Zr3Zn5
1.0
4.2504 0.0000 0.0000
0.0000 5.5548 2.8807
0.0000 -5.5548 2.8807
Zr Zn
3 5
Direct
0.0000 0.0000 0.0000
0.5000 0.5703 0.8471
0.5000 0.8471 0.5703
0.0000 0.1806 0.6440
0.0000 0.5052 0.5052
0.0000 0.6440 0.1806
0.5000 0.1139 0.3438
0.5000 0.3438 0.1139
```

(3)
The following is a DFT calculation (SCAN) of Zr5Zn3 at its PBEsol-relaxed geometry.

Results
SG	P6_3/mcm (193)
total DFT energy (no corrections)	-24.49	eV per atom

```
Zr5Zn3
1.0
8.1968 0.0000 0.0000
-4.0984 7.0987 0.0000
0.0000 0.0000 5.2213
Zr Zn
10 6
Direct
0.0000 0.2384 0.2500
0.0000 0.7616 0.7500
0.2384 0.0000 0.2500
0.2384 0.2384 0.7500
0.3333 0.6667 0.0000
0.3333 0.6667 0.5000
0.6667 0.3333 0.0000
0.6667 0.3333 0.5000
0.7616 0.0000 0.7500
0.7616 0.7616 0.2500
0.0000 0.3980 0.7500
0.0000 0.6020 0.2500
0.3980 0.0000 0.7500
0.3980 0.3980 0.2500
0.6020 0.0000 0.2500
0.6020 0.6020 0.7500
```

Number 1: formation energy from the elements -181.4 meV/atom. Number 2: formation energy from the elements -283.4 meV/atom. Number 3: formation energy from the elements -236.3 meV/atom.